1.
# InHg2 | Alexandria | PBEsol | optimized geometry
# D(E_F)	0.375	states/eV/atom
# magnetic moment	0.0	Bohr magnetons per cell
# formation energy from the elements	0.058	eV per atom
data_InHg2
_chemical_formula_sum 'In8 Hg16'
_space_group_name_H-M_alt 'P 63/m m c'
_space_group_IT_number 194
_space_group_name_Hall '-P 6c 2c'
_cell_length_a 6.1526
_cell_length_b 6.1526
_cell_length_c 18.2249
_cell_angle_alpha 90.00
_cell_angle_beta 90.00
_cell_angle_gamma 120.00
loop_
_atom_site_label
_atom_site_type_symbol
_atom_site_fract_x
_atom_site_fract_y
_atom_site_fract_z
In1 In 0.0000 0.0000 0.0909
In2 In 0.3333 0.6667 0.1567
Hg1 Hg 0.0000 0.5000 0.0000
Hg2 Hg 0.1578 0.3157 0.7500
Hg3 Hg 0.3333 0.6667 0.6274

***

2.
# TcSbTe2Se | Alexandria | PBEsol | optimized geometry
# D(E_F)	0.872	states/eV/atom
# magnetic moment	3.8	Bohr magnetons per cell
# formation energy without anion corrections	1.34	eV/atom
data_TcSbTe2Se
_chemical_formula_sum 'Tc1 Sb1 Te2 Se1'
_space_group_name_H-M_alt 'P 4/m m m'
_space_group_IT_number 123
_space_group_name_Hall '-P 4 2'
_cell_length_a 5.365
_cell_length_b 5.365
_cell_length_c 5.217
_cell_angle_alpha 90.00
_cell_angle_beta 90.00
_cell_angle_gamma 90.00
loop_
_atom_site_label
_atom_site_type_symbol
_atom_site_fract_x
_atom_site_fract_y
_atom_site_fract_z
Tc1 Tc 0.000 0.000 0.000
Sb1 Sb 0.500 0.500 0.000
Te1 Te 0.000 0.500 0.500
Se1 Se 0.500 0.500 0.500

***

3.
# AsPtPb | Alexandria | PBEsol | optimized geometry
# D(E_F)	0.615	states/eV/atom
# magnetic moment	0.0	Bohr magnetons per cell
# formation energy from the elements	0.494	eV per atom
data_AsPtPb
_chemical_formula_sum 'As4 Pt4 Pb4'
_space_group_name_H-M_alt 'F -4 3 m'
_space_group_IT_number 216
_space_group_name_Hall 'F -4 2 3'
_cell_length_a 6.506
_cell_length_b 6.506
_cell_length_c 6.506
_cell_angle_alpha 90.00
_cell_angle_beta 90.00
_cell_angle_gamma 90.00
loop_
_atom_site_label
_atom_site_type_symbol
_atom_site_fract_x
_atom_site_fract_y
_atom_site_fract_z
As1 As 0.000 0.000 0.000
Pt1 Pt 0.000 0.000 0.500
Pb1 Pb 0.250 0.250 0.250

***

4.
# CoB4O7 | Alexandria | PBEsol | optimized geometry
# magnetic moment	24.0	Bohr magnetons per cell
# formation energy without anion corrections	-2.12	eV/atom
data_CoB4O7
_chemical_formula_sum 'Co8 B32 O56'
_space_group_name_H-M_alt 'P b c a'
_space_group_IT_number 61
_space_group_name_Hall '-P 2ac 2ab'
_cell_length_a 8.221
_cell_length_b 8.643
_cell_length_c 13.720
_cell_angle_alpha 90.00
_cell_angle_beta 90.00
_cell_angle_gamma 90.00
loop_
_atom_site_label
_atom_site_type_symbol
_atom_site_fract_x
_atom_site_fract_y
_atom_site_fract_z
Co1 Co 0.106 0.131 0.122
B1 B 0.028 0.145 0.771
B2 B 0.038 0.586 0.169
B3 B 0.092 0.696 0.563
B4 B 0.156 0.140 0.463
O1 O 0.013 0.199 0.249
O2 O 0.032 0.588 0.642
O3 O 0.055 0.241 0.998
O4 O 0.106 0.053 0.707
O5 O 0.108 0.054 0.386
O6 O 0.160 0.667 0.109
O7 O 0.197 0.609 0.503

***

5.
# TeOs3W | Alexandria | PBEsol | optimized geometry
# D(E_F)	1.559	states/eV/atom
# magnetic moment	0.0	Bohr magnetons per cell
# formation energy without anion corrections	2.32	eV/atom
data_TeOs3W
_chemical_formula_sum 'Te1 Os3 W1'
_space_group_name_H-M_alt 'P m -3 m'
_space_group_IT_number 221
_space_group_name_Hall '-P 4 2 3'
_cell_length_a 4.704
_cell_length_b 4.704
_cell_length_c 4.704
_cell_angle_alpha 90.00
_cell_angle_beta 90.00
_cell_angle_gamma 90.00
loop_
_atom_site_label
_atom_site_type_symbol
_atom_site_fract_x
_atom_site_fract_y
_atom_site_fract_z
Te1 Te 0.000 0.000 0.000
Os1 Os 0.000 0.500 0.500
W1 W 0.500 0.500 0.500

***

6.
# Rb2AgH2 | Alexandria | PBEsol | optimized geometry
# D(E_F)	0.245	states/eV/atom
# magnetic moment	0.0	Bohr magnetons per cell
# DFT total energy	-0.07941	Ha/atom
data_Rb2AgH2
_chemical_formula_sum 'Rb4 Ag2 H4'
_space_group_name_H-M_alt 'P 4/m b m'
_space_group_IT_number 127
_space_group_name_Hall '-P 4 2ab'
_cell_length_a 7.810
_cell_length_b 7.810
_cell_length_c 3.581
_cell_angle_alpha 90.00
_cell_angle_beta 90.00
_cell_angle_gamma 90.00
loop_
_atom_site_label
_atom_site_type_symbol
_atom_site_fract_x
_atom_site_fract_y
_atom_site_fract_z
Rb1 Rb 0.149 0.351 0.000
Ag1 Ag 0.000 0.000 0.500
H1 H 0.158 0.658 0.500

***

7.
# Cu2SbMo | Alexandria | PBEsol | optimized geometry
# D(E_F)	0.669	states/eV/atom
# magnetic moment	0.0	Bohr magnetons per cell
# formation energy without anion corrections	0.31	eV/atom
data_Cu2SbMo
_chemical_formula_sum 'Cu4 Sb2 Mo2'
_space_group_name_H-M_alt 'C 1 m 1'
_space_group_IT_number 8
_space_group_name_Hall 'C -2y'
_cell_length_a 9.733
_cell_length_b 2.929
_cell_length_c 4.694
_cell_angle_alpha 90.00
_cell_angle_beta 115.84
_cell_angle_gamma 90.00
loop_
_atom_site_label
_atom_site_type_symbol
_atom_site_fract_x
_atom_site_fract_y
_atom_site_fract_z
Cu1 Cu 0.000 0.000 0.000
Cu2 Cu 0.234 0.500 0.083
Sb1 Sb 0.496 0.000 0.479
Mo1 Mo 0.255 0.000 0.602

***

8.
# BiBRu2 | Alexandria | PBEsol | optimized geometry
# D(E_F)	0.250	states/eV/atom
# magnetic moment	0.0	Bohr magnetons per cell
# formation energy from the elements	0.791	eV per atom
data_BiBRu2
_chemical_formula_sum 'Bi4 B4 Ru8'
_space_group_name_H-M_alt 'F m -3 m'
_space_group_IT_number 225
_space_group_name_Hall '-F 4 2 3'
_cell_length_a 6.106
_cell_length_b 6.106
_cell_length_c 6.106
_cell_angle_alpha 90.00
_cell_angle_beta 90.00
_cell_angle_gamma 90.00
loop_
_atom_site_label
_atom_site_type_symbol
_atom_site_fract_x
_atom_site_fract_y
_atom_site_fract_z
Bi1 Bi 0.000 0.000 0.000
B1 B 0.000 0.000 0.500
Ru1 Ru 0.250 0.250 0.250

***

9.
# In8Au | Alexandria | PBEsol | optimized geometry
# D(E_F)	0.411	states/eV/atom
# magnetic moment	0.0	Bohr magnetons per cell
# formation energy from the elements	-0.011	eV per atom
data_In8Au
_chemical_formula_sum 'In16 Au2'
_space_group_name_H-M_alt 'I 4/m m m'
_space_group_IT_number 139
_space_group_name_Hall '-I 4 2'
_cell_length_a 9.841
_cell_length_b 9.841
_cell_length_c 4.428
_cell_angle_alpha 90.00
_cell_angle_beta 90.00
_cell_angle_gamma 90.00
loop_
_atom_site_label
_atom_site_type_symbol
_atom_site_fract_x
_atom_site_fract_y
_atom_site_fract_z
In1 In 0.000 0.327 0.000
In2 In 0.159 0.159 0.500
Au1 Au 0.000 0.000 0.000

***

10.
# LiNiP4O12 | Alexandria | PBEsol | optimized geometry
# excess energy over the best structure of this formula in the dataset	85.4	meV per atom
# D(E_F)	0.455	states/eV/atom
# magnetic moment	12.2	Bohr magnetons per cell
# formation energy without anion corrections	-1.88	eV/atom
data_LiNiP4O12
_chemical_formula_sum 'Li4 Ni4 P16 O48'
_space_group_name_H-M_alt 'P 1 21/c 1'
_space_group_IT_number 14
_space_group_name_Hall '-P 2ybc'
_cell_length_a 7.547
_cell_length_b 12.782
_cell_length_c 11.005
_cell_angle_alpha 90.00
_cell_angle_beta 122.59
_cell_angle_gamma 90.00
loop_
_atom_site_label
_atom_site_type_symbol
_atom_site_fract_x
_atom_site_fract_y
_atom_site_fract_z
Li1 Li 0.231 0.196 0.085
Ni1 Ni 0.385 0.699 0.498
P1 P 0.019 0.104 0.234
P2 P 0.151 0.612 0.739
P3 P 0.311 0.636 0.210
P4 P 0.425 0.088 0.714
O1 O 0.022 0.144 0.906
O2 O 0.076 0.641 0.174
O3 O 0.079 0.513 0.793
O4 O 0.163 0.601 0.426
O5 O 0.203 0.166 0.260
O6 O 0.241 0.688 0.862
O7 O 0.316 0.524 0.149
O8 O 0.325 0.164 0.595
O9 O 0.334 0.721 0.127
O10 O 0.339 0.559 0.734
O11 O 0.420 0.109 0.849
O12 O 0.472 0.638 0.372

***

11.
# FeBiF2 | Alexandria | PBEsol | optimized geometry
# D(E_F)	0.358	states/eV/atom
# magnetic moment	12.1	Bohr magnetons per cell
# formation energy without anion corrections	-0.64	eV/atom
data_FeBiF2
_chemical_formula_sum 'Fe4 Bi4 F8'
_space_group_name_H-M_alt 'F m -3 m'
_space_group_IT_number 225
_space_group_name_Hall '-F 4 2 3'
_cell_length_a 6.160
_cell_length_b 6.160
_cell_length_c 6.160
_cell_angle_alpha 90.00
_cell_angle_beta 90.00
_cell_angle_gamma 90.00
loop_
_atom_site_label
_atom_site_type_symbol
_atom_site_fract_x
_atom_site_fract_y
_atom_site_fract_z
Fe1 Fe 0.000 0.000 0.000
Bi1 Bi 0.000 0.000 0.500
F1 F 0.250 0.250 0.250

***

12.
# InSbAs | Alexandria | PBEsol | optimized geometry
# excess energy over the best structure of this formula in the dataset	0.0	meV per atom
# D(E_F)	0.495	states/eV/atom
# magnetic moment	0.0	Bohr magnetons per cell
# formation energy without anion corrections	0.02	eV/atom
data_InSbAs
_chemical_formula_sum 'In1 Sb1 As1'
_space_group_name_H-M_alt 'P 3 m 1'
_space_group_IT_number 156
_space_group_name_Hall 'P 3 -2"'
_cell_length_a 3.9820
_cell_length_b 3.9820
_cell_length_c 5.4641
_cell_angle_alpha 90.00
_cell_angle_beta 90.00
_cell_angle_gamma 120.00
loop_
_atom_site_label
_atom_site_type_symbol
_atom_site_fract_x
_atom_site_fract_y
_atom_site_fract_z
In1 In 0.0000 0.0000 0.0000
Sb1 Sb 0.3333 0.6667 0.6182
As1 As 0.6667 0.3333 0.3158

***

Question: The highest magnetic moment belongs to which entry?
Answer: CoB4O7